Entry 1:
First-principles (PBE) data for a relaxed SmB4W crystal, as listed in OQMD. Values from VASP.

```
&SYSTEM
  ibrav = 0, nat = 6, ntyp = 3
/
ATOMIC_SPECIES
W 183.84 W.upf
B 10.81 B.upf
Sm 150.36 Sm.upf
ATOMIC_POSITIONS crystal
W 0.500 0.500 0.000
B 0.907 0.245 0.662
B 0.093 0.755 0.338
Sm 0.000 0.000 0.000
B 0.417 0.755 0.662
B 0.583 0.245 0.338
CELL_PARAMETERS angstrom
-2.150 -4.282 -0.304
-0.387 -0.811 4.716
-1.633 2.918 -3.445
```

Results
- SG: Immm, No. 71
- Calculated volume: 63.0 Å³/cell

---

Entry 2:
First-principles (PBE) data for a relaxed KPPdO crystal, as listed in OQMD. Values from VASP.

```
&SYSTEM
  ibrav = 0, nat = 8, ntyp = 4
/
ATOMIC_SPECIES
O 16.00 O.upf
K 39.10 K.upf
P 30.97 P.upf
Pd 106.42 Pd.upf
ATOMIC_POSITIONS crystal
O 0.500 0.301 0.335
K 0.000 0.903 0.959
P 0.000 0.357 0.877
Pd 0.500 0.496 0.083
O 0.500 0.699 0.835
P 0.000 0.643 0.377
K 0.000 0.097 0.459
Pd 0.500 0.504 0.583
CELL_PARAMETERS angstrom
-3.388 -1.247 0.084
1.279 -3.039 6.526
-1.742 4.910 2.628
```

Results
- SG: Pmc2_1, No. 26
- Calculated volume: 154.1 Å³/cell

---

Entry 3:
First-principles (PBE) data for a relaxed NdAs crystal, as listed in OQMD. Values from VASP.

```
&SYSTEM
  ibrav = 0, nat = 2, ntyp = 2
/
ATOMIC_SPECIES
As 74.92 As.upf
Nd 144.24 Nd.upf
ATOMIC_POSITIONS crystal
As 0.000 0.000 0.000
Nd 0.250 0.250 0.250
CELL_PARAMETERS angstrom
-4.619 -0.744 0.666
-2.534 3.037 2.586
-3.171 2.811 -2.091
```

Results
- SG: F-43m, No. 216
- Calculated volume: 74.6 Å³/cell

---

Entry 4:
First-principles (PBE) data for a relaxed AcPd crystal, as listed in OQMD. Values from VASP.

```
&SYSTEM
  ibrav = 0, nat = 2, ntyp = 2
/
ATOMIC_SPECIES
Pd 106.42 Pd.upf
Ac 227.00 Ac.upf
ATOMIC_POSITIONS crystal
Pd 0.250 0.250 0.250
Ac 0.000 0.000 0.000
CELL_PARAMETERS angstrom
-0.887 -1.196 4.546
-3.597 -2.981 1.031
0.934 -4.435 1.532
```

Results
- SG: F-43m, No. 216
- Calculated volume: 77.4 Å³/cell
- Energy of formation: -0.233 eV per atom

---

Record order is preserved below.
VASP energy: -7.643 -4.567 -5.702 -4.874 eV/atom